Si2NiTe | PBE | relaxed

Output
Energy   -4.824 eV/atom
Energy relative to the elements, uncorrected   0.118 eV/atom
Space-group type   Cmmm
Crystal system   orthorhombic
Calculated volume   68.3 Å³/f.u.

Lattice parameters (Å, degrees): 4.0126 4.0126 4.3445 90.00 90.00 102.57
With the nearest neighbours (Å) after each atom.
Element x y z (fractional)
Si 0.1953 0.8047 0.0000  3 Si 2.45-2.60, 2 Ni 2.49
Si 0.8047 0.1953 0.0000  3 Si 2.45-2.60, 2 Ni 2.49
Ni 0.0000 0.0000 0.5000  4 Si 2.49, 2 Te 2.51
Te 0.5000 0.5000 0.5000  2 Ni 2.51